Entry 1:
An optimized crystal structure of Sc2FeN. Source: OQMD via LeMat-Bulk, functional GGA-PBE.

Unit cell a=9.389 b=5.404 c=13.922 alpha=90.00 beta=103.49 gamma=90.00
Space group C2/c (No. 15)
Symmetry-distinct sites (fractional):
Sc (0.044, 0.082, 0.389) x8
Sc (0.113, 0.413, 0.588) x8
Sc (0.221, 0.418, 0.912) x8
Fe (0.000, 0.418, 0.750) x4
Fe (0.243, 0.160, 0.750) x8
N (0.081, 0.244, 0.000) x8
N (0.250, 0.250, 0.500) x4

Output
Uncorrected energy = -8.16 eV per atom



Entry 2:
An optimized crystal structure of Sc4FeSiN2. Source: OQMD via LeMat-Bulk, functional GGA-PBE.

Unit cell a=3.1673 b=3.1673 c=13.4715 alpha=90.00 beta=90.00 gamma=120.00
Space group P-6m2 (No. 187)
Symmetry-distinct sites (fractional):
Sc (0.0000, 0.0000, 0.1493) x2
Sc (0.6667, 0.3333, 0.3375) x2
Fe (0.6667, 0.3333, 0.0000) x1
Si (0.0000, 0.0000, 0.5000) x1
N (0.3333, 0.6667, 0.2492) x2

Output
Uncorrected energy = -7.95 eV per atom



Entry 3:
An optimized crystal structure of Sc4Ta2Fe3N3. Source: OQMD via LeMat-Bulk, functional GGA-PBE.

Unit cell a=9.169 b=5.292 c=13.798 alpha=90.00 beta=103.42 gamma=90.00
Space group C2/c (No. 15)
Symmetry-distinct sites (fractional):
Sc (0.114, 0.083, 0.089) x8
Sc (0.219, 0.084, 0.411) x8
Ta (0.045, 0.416, 0.889) x8
Fe (0.000, 0.072, 0.250) x4
Fe (0.241, 0.344, 0.249) x8
N (0.076, 0.270, 0.500) x8
N (0.250, 0.250, 0.000) x4

Output
Uncorrected energy = -8.86 eV per atom



Entry 4:
An optimized crystal structure of Sc2Fe3W4N3. Source: OQMD via LeMat-Bulk, functional GGA-PBE.

Unit cell a=9.001 b=5.209 c=13.415 alpha=90.00 beta=102.93 gamma=90.00
Space group C2/c (No. 15)
Symmetry-distinct sites (fractional):
Sc (0.042, 0.082, 0.379) x8
Fe (0.000, 0.421, 0.750) x4
Fe (0.248, 0.164, 0.750) x8
W (0.112, 0.417, 0.590) x8
W (0.220, 0.416, 0.910) x8
N (0.077, 0.230, 0.000) x8
N (0.250, 0.250, 0.500) x4

Output
Uncorrected energy = -9.91 eV per atom



Entry 5:
An optimized crystal structure of Y2Sc4Fe3N3. Source: OQMD via LeMat-Bulk, functional GGA-PBE.

Unit cell a=9.545 b=5.506 c=13.880 alpha=90.00 beta=104.15 gamma=90.00
Space group C2/c (No. 15)
Symmetry-distinct sites (fractional):
Y (0.040, 0.083, 0.377) x8
Sc (0.114, 0.411, 0.589) x8
Sc (0.221, 0.419, 0.911) x8
Fe (0.000, 0.420, 0.750) x4
Fe (0.246, 0.161, 0.749) x8
N (0.085, 0.254, 0.000) x8
N (0.250, 0.250, 0.500) x4

Output
Uncorrected energy = -8.18 eV per atom



Entry 6:
An optimized crystal structure of FeSeN. Source: OQMD via LeMat-Bulk, functional GGA-PBE.

Unit cell a=3.569 b=3.569 c=6.833 alpha=90.00 beta=90.00 gamma=90.00
Space group P4/nmm (No. 129, origin choice 2)
Symmetry-distinct sites (fractional):
Fe (0.250, 0.750, 0.000) x2
Se (0.250, 0.250, 0.231) x2
N (0.250, 0.250, 0.487) x2

Output
Uncorrected energy = -5.60 eV per atom



Entry 7:
An optimized crystal structure of FeSiW4N2. Source: OQMD via LeMat-Bulk, functional GGA-PBE.

Unit cell a=2.8267 b=2.8267 c=14.3248 alpha=90.00 beta=90.00 gamma=120.00
Space group P-6m2 (No. 187)
Symmetry-distinct sites (fractional):
Fe (0.0000, 0.0000, 0.0000) x1
Si (0.6667, 0.3333, 0.5000) x1
W (0.0000, 0.0000, 0.3518) x2
W (0.6667, 0.3333, 0.1487) x2
N (0.3333, 0.6667, 0.2507) x2

Output
Uncorrected energy = -10.10 eV per atom



Entry 8:
An optimized crystal structure of Y4FeSiN2. Source: OQMD via LeMat-Bulk, functional GGA-PBE.

Unit cell a=3.4658 b=3.4658 c=13.9787 alpha=90.00 beta=90.00 gamma=120.00
Space group P-6m2 (No. 187)
Symmetry-distinct sites (fractional):
Y (0.0000, 0.0000, 0.1422) x2
Y (0.3333, 0.6667, 0.3397) x2
Fe (0.3333, 0.6667, 0.0000) x1
Si (0.0000, 0.0000, 0.5000) x1
N (0.6667, 0.3333, 0.2479) x2

Output
Uncorrected energy = -7.79 eV per atom



Entry 9:
An optimized crystal structure of Zr4FeSiN2. Source: OQMD via LeMat-Bulk, functional GGA-PBE.

Unit cell a=3.2261 b=3.2261 c=13.4552 alpha=90.00 beta=90.00 gamma=120.00
Space group P-6m2 (No. 187)
Symmetry-distinct sites (fractional):
Zr (0.0000, 0.0000, 0.1452) x2
Zr (0.3333, 0.6667, 0.3433) x2
Fe (0.3333, 0.6667, 0.0000) x1
Si (0.0000, 0.0000, 0.5000) x1
N (0.6667, 0.3333, 0.2452) x2

Output
Uncorrected energy = -9.00 eV per atom



Entry 10:
An optimized crystal structure of Sr3FeN3. Source: OQMD via LeMat-Bulk, functional GGA-PBE.

Unit cell a=7.5833 b=7.5833 c=5.2838 alpha=90.00 beta=90.00 gamma=120.00
Space group P6_3/m (No. 176)
Symmetry-distinct sites (fractional):
Sr (0.0873, 0.7271, 0.2500) x6
Fe (0.3333, 0.6667, 0.7500) x2
N (0.1147, 0.6878, 0.7500) x6

Output
Uncorrected energy = -6.13 eV per atom



Entry 11:
An optimized crystal structure of Sr8Fe3N8. Source: OQMD via LeMat-Bulk, functional GGA-PBE.

Unit cell a=18.679 b=5.328 c=7.433 alpha=90.00 beta=105.91 gamma=90.00
Space group C2/m (No. 12)
Symmetry-distinct sites (fractional):
Sr (0.030, 0.000, 0.264) x4
Sr (0.095, 0.500, 0.965) x4
Sr (0.167, 0.500, 0.467) x4
Sr (0.200, 0.000, 0.805) x4
Fe (0.000, 0.500, 0.500) x2
Fe (0.188, 0.000, 0.206) x4
N (0.027, 0.500, 0.279) x4
N (0.108, 0.000, 0.015) x4
N (0.179, 0.000, 0.432) x4
N (0.223, 0.500, 0.831) x4

Output
Uncorrected energy = -6.14 eV per atom



Entry 12:
An optimized crystal structure of Sr2FeTcN6. Source: OQMD via LeMat-Bulk, functional GGA-PBE.

Unit cell a=9.498 b=5.482 c=5.486 alpha=90.00 beta=125.22 gamma=90.00
Space group C2/m (No. 12)
Symmetry-distinct sites (fractional):
Sr (0.249, 0.000, 0.249) x4
Fe (0.000, 0.500, 0.000) x2
Tc (0.000, 0.000, 0.500) x2
N (0.000, 0.254, 0.246) x8
N (0.247, 0.500, 0.247) x4

Output
Uncorrected energy = -7.07 eV per atom



Entry 13:
An optimized crystal structure of Ta3FeN2. Source: OQMD via LeMat-Bulk, functional GGA-PBE.

Unit cell a=3.0612 b=3.0612 c=18.3756 alpha=90.00 beta=90.00 gamma=120.00
Space group P6_3/mmc (No. 194)
Symmetry-distinct sites (fractional):
Ta (0.0000, 0.0000, 0.0000) x2
Ta (0.3333, 0.6667, 0.1416) x4
Fe (0.0000, 0.0000, 0.2500) x2
N (0.3333, 0.6667, 0.5723) x4

Output
Uncorrected energy = -10.63 eV per atom



Entry 14:
An optimized crystal structure of Ta2FeN. Source: OQMD via LeMat-Bulk, functional GGA-PBE.

Unit cell a=3.0509 b=3.0509 c=13.1254 alpha=90.00 beta=90.00 gamma=120.00
Space group P6_3/mmc (No. 194)
Symmetry-distinct sites (fractional):
Ta (0.3333, 0.6667, 0.0974) x4
Fe (0.3333, 0.6667, 0.7500) x2
N (0.0000, 0.0000, 0.0000) x2

Output
Uncorrected energy = -10.51 eV per atom



Entry 15:
An optimized crystal structure of Ta2FeN. Source: OQMD via LeMat-Bulk, functional GGA-PBE.

Unit cell a=9.015 b=5.182 c=13.459 alpha=90.00 beta=103.00 gamma=90.00
Space group C2/c (No. 15)
Symmetry-distinct sites (fractional):
Ta (0.036, 0.082, 0.366) x8
Ta (0.114, 0.412, 0.594) x8
Ta (0.220, 0.417, 0.906) x8
Fe (0.000, 0.398, 0.750) x4
Fe (0.241, 0.325, 0.250) x8
N (0.076, 0.228, 0.000) x8
N (0.250, 0.250, 0.500) x4

Output
Uncorrected energy = -10.61 eV per atom



Entry 16:
An optimized crystal structure of Ta4FeN3. Source: OQMD via LeMat-Bulk, functional GGA-PBE.

Unit cell a=3.0842 b=3.0842 c=23.1541 alpha=90.00 beta=90.00 gamma=120.00
Space group P6_3/mmc (No. 194)
Symmetry-distinct sites (fractional):
Ta (0.0000, 0.0000, 0.1669) x4
Ta (0.3333, 0.6667, 0.0579) x4
Fe (0.3333, 0.6667, 0.2500) x2
N (0.0000, 0.0000, 0.0000) x2
N (0.3333, 0.6667, 0.6135) x4

Output
Uncorrected energy = -10.71 eV per atom



Entry 17:
An optimized crystal structure of Ta4TlFeN2. Source: OQMD via LeMat-Bulk, functional GGA-PBE.

Unit cell a=3.0997 b=3.0997 c=13.8837 alpha=90.00 beta=90.00 gamma=120.00
Space group P-6m2 (No. 187)
Symmetry-distinct sites (fractional):
Ta (0.0000, 0.0000, 0.1412) x2
Ta (0.3333, 0.6667, 0.3198) x2
Tl (0.0000, 0.0000, 0.5000) x1
Fe (0.3333, 0.6667, 0.0000) x1
N (0.6667, 0.3333, 0.2293) x2

Output
Uncorrected energy = -9.70 eV per atom



Entry 18:
An optimized crystal structure of Ta2Fe3W4N3. Source: OQMD via LeMat-Bulk, functional GGA-PBE.

Unit cell a=8.711 b=5.054 c=13.610 alpha=90.00 beta=102.24 gamma=90.00
Space group C2/c (No. 15)
Symmetry-distinct sites (fractional):
Ta (0.037, 0.081, 0.367) x8
Fe (0.000, 0.389, 0.750) x4
Fe (0.237, 0.322, 0.251) x8
W (0.116, 0.424, 0.593) x8
W (0.215, 0.415, 0.907) x8
N (0.073, 0.219, 0.000) x8
N (0.250, 0.250, 0.500) x4

Output
Uncorrected energy = -10.64 eV per atom